The following is a PBE-GGA calculation of a relaxed structure of Ac2SiBi, from the Alexandria database.

Calculated values
energy above the most stable polymorph in this dataset	104.5	meV/atom
E_form (uncorrected)	-0.532	eV/atom
SG	No. 123

a b c (Å): 3.8298 3.8298 8.7857
angles (deg): 90.00 90.00 90.00
Fractional coordinates of all 4 atoms:
1 Ac 0.0000 0.0000 0.2172
2 Ac 0.0000 0.0000 0.7828
3 Si 0.5000 0.5000 0.0000
4 Bi 0.5000 0.5000 0.5000

The following is a PBE-GGA calculation of a relaxed structure of Ac4SiBi2Te, from the Alexandria database.

Calculated values
E_form (uncorrected)	-1.022	eV/atom
SG	No. 10

a b c (Å): 8.2732 4.7653 8.2904
angles (deg): 90.00 109.26 90.00
Fractional coordinates of all 8 atoms:
1 Ac 0.2351 0.0000 0.2335
2 Ac 0.2427 0.5000 0.7633
3 Ac 0.7573 0.5000 0.2367
4 Ac 0.7649 0.0000 0.7665
5 Si 0.0000 0.5000 0.0000
6 Bi 0.5000 0.0000 0.0000
7 Bi 0.5000 0.5000 0.5000
8 Te 0.0000 0.0000 0.5000

The following is a PBE-GGA calculation of a relaxed structure of Ac4SiBiTe2, from the Alexandria database.

Calculated values
E_form (uncorrected)	-1.198	eV/atom
SG	No. 10

a b c (Å): 8.2361 4.7311 8.2619
angles (deg): 90.00 109.26 90.00
Fractional coordinates of all 8 atoms:
1 Ac 0.2283 0.0000 0.2301
2 Ac 0.2355 0.5000 0.7604
3 Ac 0.7645 0.5000 0.2396
4 Ac 0.7717 0.0000 0.7699
5 Si 0.0000 0.5000 0.0000
6 Bi 0.0000 0.0000 0.5000
7 Te 0.5000 0.0000 0.0000
8 Te 0.5000 0.5000 0.5000

The following is a PBE-GGA calculation of a relaxed structure of AcSmBi, from the Alexandria database.

Calculated values
energy above the most stable polymorph in this dataset	0.0	meV/atom
energy of formation from the pure elements	-0.65	eV/atom
SG	No. 129

a b c (Å): 4.8195 4.8195 9.3117
angles (deg): 90.00 90.00 90.00
Fractional coordinates of all 6 atoms:
1 Ac 0.2500 0.2500 0.1499
2 Ac 0.7500 0.7500 0.8501
3 Sm 0.2500 0.7500 0.5000
4 Sm 0.7500 0.2500 0.5000
5 Bi 0.2500 0.2500 0.7644
6 Bi 0.7500 0.7500 0.2356

The following is a PBE-GGA calculation of a relaxed structure of AcSmBi, from the Alexandria database.

Calculated values
energy above the most stable polymorph in this dataset	317.7	meV/atom
energy of formation from the pure elements	-0.33	eV/atom
SG	No. 156

a b c (Å): 5.4303 5.4303 4.3702
angles (deg): 90.00 90.00 120.00
Fractional coordinates of all 3 atoms:
1 Ac 0.0000 0.0000 0.0000
2 Sm 0.6667 0.3333 0.4975
3 Bi 0.3333 0.6667 0.5146

The following is a PBE-GGA calculation of a relaxed structure of Ac5SmBi6, from the Alexandria database.

Calculated values
energy of formation from the pure elements	-0.98	eV/atom
SG	No. 12

a b c (Å): 8.3661 8.3661 8.3678
angles (deg): 99.60 99.60 120.00
Fractional coordinates of all 12 atoms:
1 Ac 0.0000 0.0000 0.0000
2 Ac 0.1656 0.8344 0.5000
3 Ac 0.3306 0.6694 0.0000
4 Ac 0.6694 0.3306 0.0000
5 Ac 0.8344 0.1656 0.5000
6 Sm 0.5000 0.5000 0.5000
7 Bi 0.0954 0.4194 0.2569
8 Bi 0.2589 0.2589 0.7461
9 Bi 0.4194 0.0954 0.2569
10 Bi 0.5806 0.9046 0.7431
11 Bi 0.7411 0.7411 0.2539
12 Bi 0.9046 0.5806 0.7431

no.,total magnetization (μB per formula unit)
1,0.00
2,0.00
3,0.00
4,0.00
5,0.00
6,0.00